Entry 1:
A relaxed structure of Hf2ScTc3, computed with GGA-PBE.

Properties
- space group = Cmmm
- volume (A^3/atom) = 17.3
- crystal system = orthorhombic
- E_form (eV/f.u.) = -2.0

a b c (Å): 3.261 4.612 7.272
angles (deg): 108.49 90.00 90.00
Element x y z (fractional)
1 Tc 0.500 0.169 0.337
2 Tc 0.500 0.831 0.663
3 Tc 0.500 0.500 0.000
4 Hf 0.000 0.334 0.668
5 Hf 0.000 0.666 0.332
6 Sc 0.000 0.000 0.000

Entry 2:
A relaxed structure of Hf2ScTc, computed with GGA-PBE.

Properties
- E above lowest polymorph (eV/atom) = 0.231
- space group = R-3m
- volume (A^3/atom) = 20.9
- crystal system = trigonal
- E_form (eV/f.u.) = 0.0

a b c (Å): 3.211 3.211 9.535
angles (deg): 80.31 80.31 60.00
Element x y z (fractional)
1 Tc 0.000 0.000 0.000
2 Sc 0.500 0.500 0.500
3 Hf 0.262 0.262 0.214
4 Hf 0.738 0.738 0.786

Entry 3:
A relaxed structure of HfSc2Tc, computed with GGA-PBE.

Properties
- E above lowest polymorph (eV/atom) = 0.275
- space group = R-3m
- volume (A^3/atom) = 21.1
- crystal system = trigonal
- E_form (eV/f.u.) = 0.8

a b c (Å): 10.232 10.232 10.232
angles (deg): 17.50 17.50 17.50
Element x y z (fractional)
1 Tc 0.500 0.500 0.500
2 Sc 0.899 0.899 0.899
3 Sc 0.101 0.101 0.101
4 Hf 0.000 0.000 0.000

Entry 4:
A relaxed structure of HfSc2Tc, computed with GGA-PBE.

Properties
- E above lowest polymorph (eV/atom) = 0.033
- space group = Pmmn
- volume (A^3/atom) = 19.9
- crystal system = orthorhombic
- E_form (eV/f.u.) = -0.2

a b c (Å): 4.713 5.857 5.781
angles (deg): 90.00 90.00 90.00
Element x y z (fractional)
1 Sc 0.500 0.256 0.154
2 Sc 0.500 0.744 0.154
3 Sc 0.000 0.244 0.846
4 Sc 0.000 0.756 0.846
5 Hf 0.500 0.500 0.620
6 Hf 0.000 0.000 0.380
7 Tc 0.000 0.500 0.365
8 Tc 0.500 0.000 0.635

Entry 5:
A relaxed structure of Hf2ScTc, computed with GGA-PBE.

Properties
- E above lowest polymorph (eV/atom) = 0.144
- space group = P4/mmm
- volume (A^3/atom) = 19.4
- crystal system = tetragonal
- E_form (eV/f.u.) = -0.3

a b c (Å): 3.450 4.747 4.747
angles (deg): 90.00 90.00 90.00
Element x y z (fractional)
1 Hf 0.000 0.000 0.500
2 Hf 0.000 0.500 0.000
3 Sc 0.500 0.000 0.000
4 Tc 0.500 0.500 0.500

Entry 6:
A relaxed structure of HfScTc, computed with GGA-PBE.

Properties
- E above lowest polymorph (eV/atom) = 0.002
- space group = Pnma
- volume (A^3/atom) = 19.8
- crystal system = orthorhombic
- E_form (eV/f.u.) = -0.8

a b c (Å): 3.306 6.617 10.857
angles (deg): 90.00 90.00 90.00
Element x y z (fractional)
1 Hf 0.750 0.881 0.886
2 Hf 0.250 0.619 0.386
3 Hf 0.250 0.119 0.114
4 Hf 0.750 0.381 0.614
5 Tc 0.250 0.127 0.747
6 Tc 0.750 0.373 0.247
7 Tc 0.750 0.873 0.253
8 Tc 0.250 0.627 0.753
9 Sc 0.750 0.872 0.607
10 Sc 0.250 0.628 0.107
11 Sc 0.750 0.372 0.893
12 Sc 0.250 0.128 0.393

Entry 7:
A relaxed structure of Hf2ScTc, computed with GGA-PBE.

Properties
- E above lowest polymorph (eV/atom) = 0.000
- space group = Immm
- volume (A^3/atom) = 20.3
- crystal system = orthorhombic
- E_form (eV/f.u.) = -0.9

a b c (Å): 3.359 4.943 5.731
angles (deg): 115.51 107.04 90.00
Element x y z (fractional)
1 Tc 0.500 0.000 0.000
2 Hf 0.210 0.211 0.421
3 Hf 0.790 0.789 0.579
4 Sc 0.000 0.500 0.000

Entry 8:
A relaxed structure of HfScTc, computed with GGA-PBE.

Properties
- E above lowest polymorph (eV/atom) = 0.052
- space group = C2/m
- volume (A^3/atom) = 19.3
- crystal system = monoclinic
- E_form (eV/f.u.) = -0.7

a b c (Å): 5.872 4.637 10.141
angles (deg): 90.00 122.95 90.00
Element x y z (fractional)
1 Sc 0.596 0.500 0.678
2 Sc 0.404 0.000 0.822
3 Sc 0.596 0.000 0.178
4 Sc 0.404 0.500 0.322
5 Tc 0.928 0.000 0.854
6 Tc 0.072 0.500 0.646
7 Tc 0.072 0.000 0.146
8 Tc 0.928 0.500 0.354
9 Hf 0.211 0.500 0.957
10 Hf 0.211 0.000 0.457
11 Hf 0.789 0.500 0.043
12 Hf 0.789 0.000 0.543

Which of these has the lowest volume?
Hf2ScTc3

Number 8 is which compound?
HfScTc